Entry 1:
## AcS2Br2 (PBE)

Data for a relaxed AcS2Br2 crystal.

Its energy is -4.552 eV/atom.

The structure belongs to space group C2/m (No. 12); the cell edges are 8.2066, 14.9202 and 8.0080 Å and the angles 90.00°, 107.79° and 90.00°. The distinct sites, in fractional coordinates, are Ac at (0.0000, 0.1714, 0.0000), S at (0.0775, 0.0000, 0.2266), S at (0.2213, 0.0000, 0.0659) and Br at (0.2145, 0.2184, 0.7538).

***

Entry 2:
## ScMo2Br (PBE)

Data for a relaxed ScMo2Br crystal.

Its energy is -6.944 eV/atom. For the energy above the most stable polymorph in this dataset, the calculation gives 546.2 meV per atom.

The structure belongs to space group Pmmm (No. 47); the cell edges are 3.1459, 4.5764 and 5.3343 Å and the angles 90.00°, 90.00° and 90.00°. The distinct sites, in fractional coordinates, are Sc at (0.0000, 0.0000, 0.0000), Mo at (0.5000, 0.5000, 0.2119) and Br at (0.0000, 0.0000, 0.5000).